The following is a GGA-PBE calculation of an optimized crystal structure of ZnCrReCl2, from Alexandria via LeMat-Bulk.

Cell: 4.7687 4.7687 5.0566 Å, 90.00 90.00 90.00°
Atoms (fractional coordinates):
1 Zn 0.0000 0.0000 0.0000
2 Cr 0.5000 0.5000 0.0000
3 Re 0.5000 0.5000 0.5000
4 Cl 0.0000 0.5000 0.5000
5 Cl 0.5000 0.0000 0.5000

Its total energy is -4.716 eV per atom. The calculation puts the spin magnetization at 2.58 μB per cell. As for the density of states at the Fermi level: 2.2 states/eV/f.u.